NaZrAg3Se4 PBE optimized geometry; raw total energy = -4.31 eV/atom
1.0
6.333 0.000 0.000
0.000 6.333 0.000
0.000 0.000 6.333
Na Zr Ag Se
1 1 3 4
Direct
0.000 0.000 0.000
0.500 0.500 0.500
0.000 0.500 0.500
0.500 0.000 0.500
0.500 0.500 0.000
0.265 0.265 0.265
0.265 0.735 0.735
0.735 0.265 0.735
0.735 0.735 0.265